Entry 1:
Here is a geometry-optimized La2FeSbC structure from Alexandria via LeMat-Bulk. Energies are from PBE-GGA.

Unit cell a=5.4436 b=5.4436 c=3.8335 alpha=90.00 beta=90.00 gamma=90.00
With the nearest neighbours (Å) after each atom.
Atoms (fractional coordinates):
Sb 0.5000 0.5000 0.5000  8 La 3.33
C 0.0000 0.0000 0.0000  2 Fe 1.92
Fe 0.0000 0.0000 0.5000  2 C 1.92
La 0.0000 0.5000 0.0000  2 C 2.72
La 0.5000 0.0000 0.0000  2 C 2.72

Results
D(E_F) (states/eV per cell): 3.32
Formation energy (no corrections) (eV per atom): -0.44
Raw total energy (eV per atom): -6.77
Space group: P4/mmm, No. 123



Entry 2:
Here is a geometry-optimized Pr2Zn3Pt5 structure from Alexandria via LeMat-Bulk. Energies are from PBE-GGA.

Unit cell a=5.7712 b=8.7567 c=8.7567 alpha=74.96 beta=70.76 gamma=70.76
With the nearest neighbours (Å) after each atom.
Atoms (fractional coordinates):
Pr 0.1273 0.5992 0.1462  7 Pt 3.07-3.41, 3 Zn 3.22-3.43
Pr 0.6273 0.1462 0.5992  7 Pt 3.07-3.41, 3 Zn 3.22-3.43
Pr 0.8727 0.4008 0.8538  7 Pt 3.07-3.41, 3 Zn 3.22-3.43
Pr 0.3727 0.8538 0.4008  7 Pt 3.07-3.41, 3 Zn 3.22-3.43
Zn 0.3543 0.5507 0.7407  5 Pt 2.51-2.55
Zn 0.8543 0.7407 0.5507  5 Pt 2.51-2.55
Zn 0.6457 0.4493 0.2593  5 Pt 2.51-2.55
Zn 0.1457 0.2593 0.4493  5 Pt 2.51-2.55
Zn 0.2500 0.0000 0.0000  6 Pt 2.64-2.69, 2 Zn 2.89
Zn 0.7500 0.0000 0.0000  6 Pt 2.64-2.69, 2 Zn 2.89
Pt 0.3989 0.2770 0.9252  3 Zn 2.51-2.69, 2 Pt 2.73
Pt 0.8989 0.9252 0.2770  3 Zn 2.51-2.69, 2 Pt 2.73
Pt 0.6011 0.7230 0.0748  3 Zn 2.51-2.69, 2 Pt 2.73
Pt 0.1011 0.0748 0.7230  3 Zn 2.51-2.69, 2 Pt 2.73
Pt 0.4592 0.7908 0.7908  3 Zn 2.54-2.64, 2 Pt 2.73
Pt 0.5408 0.2092 0.2092  3 Zn 2.54-2.64, 2 Pt 2.73
Pt 0.7500 0.5000 0.5000  4 Zn 2.55
Pt 0.2500 0.5000 0.5000  4 Zn 2.55
Pt 0.0408 0.2092 0.2092  3 Zn 2.54-2.64, 2 Pt 2.73
Pt 0.9592 0.7908 0.7908  3 Zn 2.54-2.64, 2 Pt 2.73

Results
D(E_F) (states/eV per cell): 7.71
ΔH_f (0 K) (eV/f.u.): -7.7
Raw total energy (eV per atom): -5.13
Space group: Ibam, No. 72



Entry 3:
Here is a geometry-optimized Ac2LaTbNd5 structure from Alexandria via LeMat-Bulk. Energies are from PBE-GGA.

Unit cell a=5.9005 b=10.7638 c=11.0615 alpha=90.00 beta=90.00 gamma=105.91
With the nearest neighbours (Å) after each atom.
Atoms (fractional coordinates):
Ac 0.8834 0.7668 0.8190  8 Nd 3.43-3.71
Ac 0.1147 0.2293 0.7299  9 Nd 3.59-4.01, 1 Tb 3.63, 2 La 3.96
Ac 0.1166 0.2332 0.3190  8 Nd 3.43-3.71
Ac 0.8853 0.7707 0.2299  9 Nd 3.59-4.01, 1 Tb 3.63, 2 La 3.96
La 0.5868 0.1736 0.9625  5 Nd 3.18-3.42
La 0.4132 0.8264 0.4625  5 Nd 3.18-3.42
Tb 0.7934 0.5868 0.5094  2 Ac 3.63-3.90, 8 Nd 3.66-3.89, 2 La 3.89
Tb 0.2066 0.4132 0.0094  2 Ac 3.63-3.90, 8 Nd 3.66-3.89, 2 La 3.89
Nd 0.3876 0.7752 0.0199  6 Nd 3.62-4.01, 4 Ac 3.69-3.76, 1 Tb 3.75
Nd 0.7179 0.4358 0.8134  1 La 3.18, 1 Ac 3.43
Nd 0.4838 0.9677 0.7416  2 La 3.24-3.42, 1 Nd 3.62
Nd 0.2957 0.5915 0.7050  4 Nd 3.57-3.97, 1 La 3.62, 3 Tb 3.66-3.84, 3 Ac 3.69-3.76
Nd 0.9811 0.9621 0.5233  2 La 3.34, 2 Ac 3.59-3.60
Nd 0.6124 0.2248 0.5199  6 Nd 3.62-4.01, 4 Ac 3.69-3.76, 1 Tb 3.75
Nd 0.2821 0.5642 0.3134  1 La 3.18, 1 Ac 3.43
Nd 0.5162 0.0323 0.2416  2 La 3.24-3.42, 1 Nd 3.62
Nd 0.7043 0.4085 0.2050  4 Nd 3.57-3.97, 1 La 3.62, 3 Tb 3.66-3.84, 3 Ac 3.69-3.76
Nd 0.0189 0.0379 0.0233  2 La 3.34, 2 Ac 3.59-3.60

Results
D(E_F) (states/eV per cell): 26.02
ΔH_f (0 K) (eV/f.u.): 1.2
Raw total energy (eV per atom): -4.49
Space group: Cmc2_1, No. 36



Entry 4:
Here is a geometry-optimized Tb2Ce2Mg15 structure from Alexandria via LeMat-Bulk. Energies are from PBE-GGA.

Unit cell a=7.9249 b=7.9249 c=7.9249 alpha=83.82 beta=83.82 gamma=83.82
With the nearest neighbours (Å) after each atom.
Atoms (fractional coordinates):
Tb 0.1015 0.1015 0.1015  1 Tb 3.07, 6 Mg 3.21-3.39, 1 Ce 3.43
Tb 0.8985 0.8985 0.8985  1 Tb 3.07, 6 Mg 3.21-3.39, 1 Ce 3.43
Ce 0.3284 0.3284 0.3284  1 Tb 3.43, 12 Mg 3.74-3.81
Ce 0.6716 0.6716 0.6716  1 Tb 3.43, 12 Mg 3.74-3.81
Mg 0.5000 0.0000 0.0000  8 Mg 2.99-3.11, 2 Tb 3.21
Mg 0.0000 0.0000 0.5000  8 Mg 2.99-3.11, 2 Tb 3.21
Mg 0.0000 0.5000 0.0000  8 Mg 2.99-3.11, 2 Tb 3.21
Mg 0.0000 0.7035 0.2965  8 Mg 2.99-3.25
Mg 0.7035 0.2965 0.0000  8 Mg 2.99-3.25
Mg 0.2965 0.0000 0.7035  8 Mg 2.99-3.25
Mg 0.2965 0.7035 0.0000  8 Mg 2.99-3.25
Mg 0.7035 0.0000 0.2965  8 Mg 2.99-3.25
Mg 0.0000 0.2965 0.7035  8 Mg 2.99-3.25
Mg 0.1564 0.6423 0.6423  8 Mg 3.03-3.25
Mg 0.6423 0.6423 0.1564  8 Mg 3.03-3.25
Mg 0.6423 0.1564 0.6423  8 Mg 3.03-3.25
Mg 0.8436 0.3577 0.3577  8 Mg 3.03-3.25
Mg 0.3577 0.3577 0.8436  8 Mg 3.03-3.25
Mg 0.3577 0.8436 0.3577  8 Mg 3.03-3.25

Results
D(E_F) (states/eV per cell): 28.67
ΔH_f (0 K) (eV/f.u.): 0.7
Raw total energy (eV per atom): -2.34
Space group: R-3m, No. 166



Entry 5:
Here is a geometry-optimized Nd5Dy2Y structure from Alexandria via LeMat-Bulk. Energies are from PBE-GGA.

Unit cell a=6.8986 b=14.0133 c=9.7453 alpha=107.27 beta=66.29 gamma=140.43
With the nearest neighbours (Å) after each atom.
Atoms (fractional coordinates):
Nd 0.2319 0.9803 0.8528  9 Nd 3.59-3.70, 2 Dy 3.65-3.70, 1 Y 3.71
Nd 0.0961 0.8513 0.4781  8 Nd 3.59-3.72, 3 Dy 3.59-3.68, 1 Y 3.69
Nd 0.5141 0.7681 0.3964  3 Dy 3.59-3.68, 7 Nd 3.59-3.72, 2 Y 3.61-3.65
Nd 0.3919 0.6444 0.0208  5 Nd 3.58-3.69, 5 Dy 3.60-3.68, 2 Y 3.61-3.68
Nd 0.3627 0.1067 0.2263  8 Nd 3.59-3.70, 3 Dy 3.60-3.71, 1 Y 3.62
Nd 0.6373 0.8933 0.7737  8 Nd 3.59-3.70, 3 Dy 3.60-3.71, 1 Y 3.62
Nd 0.4859 0.2319 0.6036  3 Dy 3.59-3.68, 7 Nd 3.59-3.72, 2 Y 3.61-3.65
Nd 0.6081 0.3555 0.9792  5 Nd 3.58-3.69, 5 Dy 3.60-3.68, 2 Y 3.61-3.68
Nd 0.7681 0.0197 0.1472  9 Nd 3.59-3.70, 2 Dy 3.65-3.70, 1 Y 3.71
Nd 0.9039 0.1487 0.5219  8 Nd 3.59-3.72, 3 Dy 3.59-3.68, 1 Y 3.69
Dy 0.7293 0.4800 0.3543  3 Y 3.59-3.67, 7 Nd 3.59-3.69, 2 Dy 3.60-3.67
Dy 0.9710 0.7260 0.1040  2 Y 3.56-3.68, 9 Nd 3.60-3.71, 1 Dy 3.67
Dy 0.2707 0.5200 0.6457  3 Y 3.59-3.67, 7 Nd 3.59-3.69, 2 Dy 3.60-3.67
Dy 0.0290 0.2740 0.8960  2 Y 3.56-3.68, 9 Nd 3.60-3.71, 1 Dy 3.67
Y 0.8482 0.6017 0.7288  5 Dy 3.56-3.68, 7 Nd 3.61-3.71
Y 0.1518 0.3983 0.2712  5 Dy 3.56-3.68, 7 Nd 3.61-3.71

Results
D(E_F) (states/eV per cell): 29.21
ΔH_f (0 K) (eV/f.u.): 0.2
Raw total energy (eV per atom): -4.91
Excess energy over the best structure of this formula in the dataset (meV per atom): 11
Space group: P-1, No. 2



Entry 6:
Here is a geometry-optimized ThZrTcRu structure from Alexandria via LeMat-Bulk. Energies are from PBE-GGA.

Unit cell a=4.8373 b=4.8373 c=4.8373 alpha=60.00 beta=60.00 gamma=60.00
With the nearest neighbours (Å) after each atom.
Atoms (fractional coordinates):
Ru 0.5000 0.5000 0.5000  4 Zr 2.96, 4 Th 2.96
Zr 0.2500 0.2500 0.2500  4 Tc 2.96, 4 Ru 2.96
Tc 0.0000 0.0000 0.0000  4 Zr 2.96, 4 Th 2.96
Th 0.7500 0.7500 0.7500  4 Tc 2.96, 4 Ru 2.96

Results
D(E_F) (states/eV per cell): 3.02
ΔH_f (0 K) (eV/f.u.): -1.3
Raw total energy (eV per atom): -9.22
Space group: F-43m, No. 216